1.
Here is a relaxed TlPbW2 crystal from the Alexandria database. Energies are from PBE.

```
TlPbW2
1.0
-0.9633 -7.5937 1.6926
6.7680 0.0232 3.9560
1.4954 -3.0712 5.2271
W Pb Tl
4 2 2
direct
0.3750 0.3733 0.7500
0.8750 0.8767 0.7500
0.6267 0.1250 0.2500
0.1233 0.6250 0.2500
0.7500 0.2500 0.5000
0.0000 0.0000 0.0000
0.5000 0.5000 0.0000
0.2500 0.7500 0.5000
```

Energy of formation from the pure elements   1.713 eV per atom
Energy relative to the lowest polymorph listed for this composition   1.126 eV/atom
Space group   I-42d
Total DFT energy (no corrections)   -6.2824 eV per atom


2.
Here is a relaxed TlPb2W crystal from the Alexandria database. Energies are from PBE.

```
TlPb2W
1.0
-7.3302 -7.9945 -3.4058
-4.7903 -8.8741 -5.2485
-5.0330 -9.9570 -2.1844
Tl Pb W
1 2 1
direct
0.2500 0.2500 0.2500
0.4873 0.4873 0.4873
0.0127 0.0127 0.0127
0.7500 0.7500 0.7500
```

Energy of formation from the pure elements   0.641 eV per atom
Energy relative to the lowest polymorph listed for this composition   0.010 eV/atom
Space group   R-3m
Total DFT energy (no corrections)   -5.0430 eV per atom


3.
Here is a relaxed TlPb2W crystal from the Alexandria database. Energies are from PBE.

```
TlPb2W
1.0
3.1360 0.0000 0.0000
0.0000 3.1360 0.0000
0.0000 0.0000 10.9803
W Pb Tl
1 2 1
direct
0.5000 0.5000 0.7500
0.0000 0.0000 0.5530
0.0000 0.0000 0.9470
0.5000 0.5000 0.2500
```

Energy of formation from the pure elements   0.668 eV per atom
Energy relative to the lowest polymorph listed for this composition   0.036 eV/atom
Space group   P4/mmm
Total DFT energy (no corrections)   -5.0163 eV per atom


4.
Here is a relaxed Tl2PbW crystal from the Alexandria database. Energies are from PBE.

```
Tl2PbW
1.0
-3.6728 3.3018 1.7833
-0.0820 4.9808 -1.6603
-3.8308 1.6397 -3.1950
W Tl Pb
1 2 1
direct
0.0000 0.0000 0.0000
0.2500 0.2500 0.2500
0.7500 0.7500 0.7500
0.5000 0.5000 0.5000
```

Energy of formation from the pure elements   1.163 eV per atom
Energy relative to the lowest polymorph listed for this composition   0.491 eV/atom
Space group   Fm-3m
Total DFT energy (no corrections)   -4.1858 eV per atom


5.
Here is a relaxed Zr2TlPbW crystal from the Alexandria database. Energies are from PBE.

```
Zr2TlPbW
1.0
5.3696 0.0000 0.0000
0.0000 5.0650 0.0000
0.0000 0.0000 5.3696
W Zr Pb Tl
1 2 1 1
direct
0.0000 0.5000 0.0000
0.5000 0.0000 0.0000
0.0000 0.0000 0.5000
0.0000 0.0000 0.0000
0.5000 0.5000 0.5000
```

Energy of formation from the pure elements   1.610 eV per atom
Space group   P4/mmm
Total DFT energy (no corrections)   -5.6149 eV per atom


6.
Here is a relaxed YTlPb2 crystal from the Alexandria database. Energies are from PBE.

```
YTlPb2
1.0
-2.0536 -5.1705 -1.0914
2.7198 -0.5827 -2.3575
3.1695 -2.1423 4.1852
Pb Tl Y
2 1 1
direct
0.0000 0.1249 0.8773
0.5000 0.1251 0.3725
0.0000 0.6251 0.3776
0.5000 0.6249 0.8726
```

Energy of formation from the pure elements   -0.232 eV per atom
Space group   Pmm2
Total DFT energy (no corrections)   -4.2936 eV per atom